## RbNaTe2 (GGA-PBE)

Data for RbNaTe2 after structural relaxation.

Cell and atoms, written as POSCAR:
```
RbNaTe2
1.0
2.226 0.000 11.481
-1.113 1.928 11.481
-1.113 -1.928 11.481
Rb Te Na
1 2 1
Cartesian
0.000 0.000 0.000
0.000 0.000 3.392
0.000 0.000 31.051
0.000 0.000 17.221
```

Results
Crystal system ... trigonal
Formation energy without anion corrections ... -0.273 eV/atom
Excess energy over the best structure of this formula in the dataset ... 0.422 eV per atom